(1)
Entry from the Alexandria database: a relaxed structure of LiCaAg3 (PBE-GGA).

a = 4.739 Å, b = 4.739 Å, c = 4.739 Å
α = 90.00°, β = 90.00°, γ = 90.00°
Space group Pm-3m (No. 221)
Inequivalent atoms, fractional coordinates:
Li 0.000 0.000 0.000 (multiplicity 1)
Ca 0.500 0.500 0.500 (multiplicity 1)
Ag 0.000 0.000 0.500 (multiplicity 3)

Values from the calculation:
Fermi-level density of states ... 1.9 states/eV per cell
Formation energy from the elements ... -0.04 eV/atom
Mass density ... 5.78 Mg/m³
Size of the total moment ... 0.000 μB per formula unit

(2)
Entry from the Alexandria database: a relaxed structure of LiCa2Ag (PBE-GGA).

a = 3.715 Å, b = 3.715 Å, c = 8.080 Å
α = 90.00°, β = 90.00°, γ = 90.00°
Space group P4mm (No. 99)
Inequivalent atoms, fractional coordinates:
Li 0.000 0.000 0.000 (multiplicity 1)
Ca 0.000 0.000 0.376 (multiplicity 1)
Ca 0.500 0.500 0.738 (multiplicity 1)
Ag 0.500 0.500 0.140 (multiplicity 1)

Values from the calculation:
Fermi-level density of states ... 3.0 states/eV per cell
Formation energy from the elements ... -0.13 eV/atom
Mass density ... 2.90 Mg/m³
Size of the total moment ... 0.000 μB per formula unit

(3)
Entry from the Alexandria database: a relaxed structure of Li2Ca3Ag (PBE-GGA).

a = 3.853 Å, b = 3.853 Å, c = 11.731 Å
α = 90.00°, β = 90.00°, γ = 90.00°
Space group P4/mmm (No. 123)
Inequivalent atoms, fractional coordinates:
Li 0.000 0.000 0.173 (multiplicity 2)
Ca 0.500 0.500 0.000 (multiplicity 1)
Ca 0.500 0.500 0.349 (multiplicity 2)
Ag 0.000 0.000 0.500 (multiplicity 1)

Values from the calculation:
Fermi-level density of states ... 5.4 states/eV per cell
Formation energy from the elements ... -0.10 eV/atom
Mass density ... 2.31 Mg/m³
Size of the total moment ... 0.000 μB per formula unit